(1)
Computed, not measured: a relaxed LaCe2Rh crystal at the PBE level of DFT.

Lattice parameters (Å, degrees): 3.872 3.872 9.432 78.16 78.16 60.00
Each line ends with the local moment (μB).
Fractional coordinates of all 4 atoms:
1 Rh 0.666 0.666 0.001  -0.04
2 La 0.500 0.500 0.500  0.03
3 Ce 0.061 0.061 0.817  0.45
4 Ce 0.272 0.272 0.183  0.49

Computed properties:
size of the total moment: 1.2 μB/f.u.
E_tot: -6.30 eV per atom
energy of formation: -0.261 eV per atom

(2)
Computed, not measured: a relaxed La2CeRh2 crystal at the PBE level of DFT.

Lattice parameters (Å, degrees): 6.537 6.537 7.441 80.34 80.34 58.02
Fractional coordinates of all 10 atoms:
1 La 0.760 0.551 0.351
2 La 0.551 0.760 0.851
3 La 0.449 0.240 0.149
4 La 0.240 0.449 0.649
5 Rh 0.736 0.950 0.530
6 Rh 0.950 0.736 0.030
7 Rh 0.264 0.050 0.470
8 Rh 0.050 0.264 0.970
9 Ce 0.073 0.927 0.250
10 Ce 0.927 0.073 0.750

Computed properties:
size of the total moment: 0.0 μB/f.u.
E_tot: -6.75 eV per atom
energy of formation: -0.647 eV per atom